No. 1
Density functional theory data (PBE-GGA) for a relaxed structure of Dy5YAl2.

Unit cell a=8.2228 b=8.2228 c=8.2228 alpha=155.13 beta=102.61 gamma=82.78
Last column: nearest neighbours and their distance in Å.
Positions (direct):
1 Dy 0.0000 0.0000 0.0000  2 Al 3.27, 10 Dy 3.36-3.54
2 Dy 0.0858 0.3622 0.7236  3 Al 3.09-3.30, 5 Dy 3.33-3.40
3 Dy 0.3613 0.6378 0.7236  3 Al 3.09-3.30, 5 Dy 3.33-3.40
4 Dy 0.6387 0.3622 0.2764  3 Al 3.09-3.30, 5 Dy 3.33-3.40
5 Dy 0.9142 0.6378 0.2764  3 Al 3.09-3.30, 5 Dy 3.33-3.40
6 Y 0.5000 0.0000 0.5000  4 Al 3.40, 2 Y 3.54, 8 Dy 3.76
7 Al 0.2646 0.2646 0.0000  7 Dy 3.09-3.30, 2 Y 3.40
8 Al 0.7354 0.7354 0.0000  7 Dy 3.09-3.30, 2 Y 3.40

As for the total moment: 0.000 μB/f.u. As for the space group: Immm (71). The calculated formation energy is -0.092 eV per atom.


No. 2
Density functional theory data (PBE-GGA) for a relaxed structure of Dy5Y2Al4.

Unit cell a=10.5315 b=10.5315 c=10.5315 alpha=161.76 beta=123.88 gamma=59.52
Last column: nearest neighbours and their distance in Å.
Positions (direct):
1 Dy 0.0000 0.0000 0.0000  2 Dy 3.34, 4 Al 3.34, 4 Y 3.52
2 Dy 0.1554 0.3196 0.8358  3 Al 3.09-3.33, 3 Dy 3.25-3.34, 1 Y 3.33
3 Dy 0.4838 0.3196 0.1642  3 Al 3.09-3.33, 3 Dy 3.25-3.34, 1 Y 3.33
4 Dy 0.5162 0.6804 0.8358  3 Al 3.09-3.33, 3 Dy 3.25-3.34, 1 Y 3.33
5 Dy 0.8446 0.6804 0.1642  3 Al 3.09-3.33, 3 Dy 3.25-3.34, 1 Y 3.33
6 Y 0.1692 0.6692 0.5000  8 Dy 3.33-3.60, 2 Y 3.34
7 Y 0.8308 0.3308 0.5000  8 Dy 3.33-3.60, 2 Y 3.34
8 Al 0.2922 0.5000 0.7922  4 Al 2.94
9 Al 0.4304 0.9304 0.5000  1 Al 2.55
10 Al 0.5696 0.0696 0.5000  1 Al 2.55
11 Al 0.7078 0.5000 0.2078  4 Al 2.94

As for the total moment: 0.000 μB/f.u. As for the space group: Immm (71). The calculated formation energy is 0.064 eV per atom.


No. 3
Density functional theory data (PBE-GGA) for a relaxed structure of Dy2YAl.

Unit cell a=10.6076 b=10.6076 c=10.6076 alpha=19.50 beta=19.50 gamma=19.50
Last column: nearest neighbours and their distance in Å.
Positions (direct):
1 Dy 0.0000 0.0000 0.0000  3 Al 3.08
2 Dy 0.1884 0.1884 0.1884  3 Al 3.06
3 Y 0.4279 0.4279 0.4279  6 Dy 3.59-3.61, 6 Y 3.59
4 Al 0.5939 0.5939 0.5939  6 Dy 3.06-3.08

The calculation puts the energy relative to the lowest polymorph listed for this composition at 125 meV per atom. As for the total moment: 0.716 μB/f.u. As for the space group: R3m (160). The calculated formation energy is -0.074 eV per atom.


No. 4
Density functional theory data (PBE-GGA) for a relaxed structure of DyYAl2.

Unit cell a=3.6009 b=3.6009 c=7.2005 alpha=90.00 beta=90.00 gamma=90.00
Last column: nearest neighbours and their distance in Å.
Positions (direct):
1 Dy 0.0000 0.0000 0.0000  8 Al 3.12
2 Y 0.0000 0.0000 0.5000  8 Al 3.12
3 Al 0.5000 0.5000 0.2493  4 Dy 3.12, 4 Y 3.12
4 Al 0.5000 0.5000 0.7507  4 Dy 3.12, 4 Y 3.12

The calculation puts the energy relative to the lowest polymorph listed for this composition at 0 meV per atom. As for the total moment: 0.000 μB/f.u. As for the space group: P4/mmm (123). The calculated formation energy is -0.408 eV per atom.


No. 5
Density functional theory data (PBE-GGA) for a relaxed structure of Dy8Y2Al.

Unit cell a=9.9243 b=9.9243 c=6.4384 alpha=93.12 beta=93.12 gamma=31.98
Last column: nearest neighbours and their distance in Å.
Positions (direct):
1 Dy 0.0417 0.0417 0.2525  2 Al 3.26, 6 Dy 3.54-3.64
2 Dy 0.1547 0.1547 0.8121  7 Dy 3.35-3.75, 4 Y 3.55-3.63
3 Dy 0.3430 0.3430 0.8815  1 Al 3.05, 2 Dy 3.37, 2 Y 3.41
4 Dy 0.4213 0.4213 0.3991  1 Al 3.05, 3 Dy 3.20-3.35
5 Dy 0.5787 0.5787 0.6009  1 Al 3.05, 3 Dy 3.20-3.35
6 Dy 0.6570 0.6570 0.1185  1 Al 3.05, 2 Dy 3.37, 2 Y 3.41
7 Dy 0.8453 0.8453 0.1879  7 Dy 3.35-3.75, 4 Y 3.55-3.63
8 Dy 0.9583 0.9583 0.7475  2 Al 3.26, 6 Dy 3.54-3.64
9 Y 0.2397 0.2397 0.3311  9 Dy 3.41-3.78, 2 Y 3.50
10 Y 0.7603 0.7603 0.6689  9 Dy 3.41-3.78, 2 Y 3.50
11 Al 0.5000 0.5000 0.0000  8 Dy 3.05-3.26

As for the total moment: 0.000 μB/f.u. As for the space group: C2/m (12). The calculated formation energy is -0.041 eV per atom.


No. 6
Density functional theory data (PBE-GGA) for a relaxed structure of DyY3Al8.

Unit cell a=5.5513 b=5.5513 c=9.1462 alpha=90.00 beta=90.00 gamma=120.00
Last column: nearest neighbours and their distance in Å.
Positions (direct):
1 Dy 0.0000 0.0000 0.0000  12 Al 3.24-3.30, 4 Y 3.33-3.44
2 Y 0.0000 0.0000 0.3639  12 Al 3.24-3.30, 1 Dy 3.33, 3 Y 3.44
3 Y 0.6667 0.3333 0.4997  12 Al 3.24-3.30, 4 Y 3.34-3.44
4 Y 0.6667 0.3333 0.8647  12 Al 3.24-3.29, 1 Y 3.34, 3 Dy 3.44
5 Al 0.1622 0.3245 0.6823  6 Al 2.70-2.85
6 Al 0.1622 0.8378 0.6823  6 Al 2.70-2.85
7 Al 0.3333 0.6667 0.4323  6 Al 2.82
8 Al 0.3333 0.6667 0.9322  6 Al 2.81-2.82
9 Al 0.5044 0.0088 0.1820  6 Al 2.70-2.85
10 Al 0.5044 0.4956 0.1820  6 Al 2.70-2.85
11 Al 0.6755 0.8378 0.6823  6 Al 2.70-2.85
12 Al 0.9912 0.4956 0.1820  6 Al 2.70-2.85

The calculation puts the energy relative to the lowest polymorph listed for this composition at 10 meV per atom. As for the total moment: 0.000 μB/f.u. As for the space group: P3m1 (156). The calculated formation energy is -0.519 eV per atom.


No. 7
Density functional theory data (PBE-GGA) for a relaxed structure of Dy3YAl.

Unit cell a=6.7308 b=6.7308 c=12.4245 alpha=95.45 beta=95.45 gamma=30.89
Last column: nearest neighbours and their distance in Å.
Positions (direct):
1 Dy 0.0333 0.0333 0.1948  2 Al 3.18, 5 Dy 3.34-3.56, 1 Y 3.47
2 Dy 0.1413 0.1413 0.4504  4 Al 3.10-3.12, 3 Dy 3.34-3.46
3 Dy 0.3645 0.3645 0.0179  9 Dy 3.45-3.59, 3 Y 3.67-3.70
4 Dy 0.6355 0.6355 0.9821  9 Dy 3.45-3.59, 3 Y 3.67-3.70
5 Dy 0.8587 0.8587 0.5496  4 Al 3.10-3.12, 3 Dy 3.34-3.46
6 Dy 0.9667 0.9667 0.8052  2 Al 3.18, 5 Dy 3.34-3.56, 1 Y 3.47
7 Y 0.2231 0.2231 0.7474  2 Al 3.16, 1 Dy 3.47
8 Y 0.7769 0.7769 0.2526  2 Al 3.16, 1 Dy 3.47
9 Al 0.4498 0.4498 0.3787  6 Dy 3.10-3.18, 2 Y 3.16, 1 Al 3.16
10 Al 0.5502 0.5502 0.6213  6 Dy 3.10-3.18, 2 Y 3.16, 1 Al 3.16

The calculation puts the energy relative to the lowest polymorph listed for this composition at 0 meV per atom. As for the total moment: 0.477 μB/f.u. As for the space group: C2/m (12). The calculated formation energy is -0.150 eV per atom.


No. 8
Density functional theory data (PBE-GGA) for a relaxed structure of Dy4Y3Al4.

Unit cell a=9.5193 b=9.5193 c=9.5193 alpha=148.71 beta=138.64 gamma=52.77
Last column: nearest neighbours and their distance in Å.
Positions (direct):
1 Dy 0.0554 0.8201 0.2353  4 Al 3.02-3.10, 1 Dy 3.16
2 Dy 0.4152 0.1799 0.2353  4 Al 3.02-3.10, 1 Dy 3.16
3 Dy 0.5848 0.8201 0.7647  4 Al 3.02-3.10, 1 Dy 3.16
4 Dy 0.9446 0.1799 0.7647  4 Al 3.02-3.10, 1 Dy 3.16
5 Y 0.0000 0.5000 0.5000  6 Al 2.95-3.25
6 Y 0.4005 0.4005 0.0000  6 Al 3.37-3.59, 3 Y 3.39-3.77, 4 Dy 3.41
7 Y 0.5995 0.5995 0.0000  6 Al 3.37-3.59, 3 Y 3.39-3.77, 4 Dy 3.41
8 Al 0.1728 0.6728 0.5000  1 Y 2.95, 6 Dy 3.02-3.08
9 Al 0.2970 0.0000 0.2970  1 Al 2.73
10 Al 0.7030 0.0000 0.7030  1 Al 2.73
11 Al 0.8272 0.3272 0.5000  1 Y 2.95, 6 Dy 3.02-3.08

As for the total moment: 0.000 μB/f.u. As for the space group: Immm (71). The calculated formation energy is -0.194 eV per atom.


No. 9
Density functional theory data (PBE-GGA) for a relaxed structure of Dy4Y2Al.

Unit cell a=18.9817 b=18.9817 c=18.9817 alpha=10.92 beta=10.92 gamma=10.92
Last column: nearest neighbours and their distance in Å.
Positions (direct):
1 Dy 0.0909 0.0909 0.0909  3 Y 3.53, 9 Dy 3.58-3.61
2 Dy 0.2938 0.2938 0.2938  3 Al 3.06
3 Dy 0.7062 0.7062 0.7062  3 Al 3.06
4 Dy 0.9091 0.9091 0.9091  3 Y 3.53, 9 Dy 3.58-3.61
5 Y 0.1920 0.1920 0.1920  3 Dy 3.53, 9 Y 3.55-3.61
6 Y 0.8080 0.8080 0.8080  3 Dy 3.53, 9 Y 3.55-3.61
7 Al 0.0000 0.0000 0.0000  6 Dy 3.06

As for the total moment: 1.438 μB/f.u. As for the space group: R-3m (166). The calculated formation energy is -0.039 eV per atom.


No. 10
Density functional theory data (PBE-GGA) for a relaxed structure of DyY3Al4.

Unit cell a=3.6021 b=3.6021 c=14.4091 alpha=90.00 beta=90.00 gamma=90.00
Last column: nearest neighbours and their distance in Å.
Positions (direct):
1 Dy 0.0000 0.0000 0.0000  8 Al 3.11
2 Y 0.0000 0.0000 0.2495  8 Al 3.12
3 Y 0.0000 0.0000 0.5000  8 Al 3.12
4 Y 0.0000 0.0000 0.7505  8 Al 3.12
5 Al 0.5000 0.5000 0.1244  4 Dy 3.11, 4 Y 3.12
6 Al 0.5000 0.5000 0.3747  8 Y 3.12
7 Al 0.5000 0.5000 0.6253  8 Y 3.12
8 Al 0.5000 0.5000 0.8756  4 Dy 3.11, 4 Y 3.12

As for the total moment: 0.000 μB/f.u. As for the space group: P4/mmm (123). The calculated formation energy is -0.413 eV per atom.


No. 11
Density functional theory data (PBE-GGA) for a relaxed structure of Dy2Y2Al3.

Unit cell a=6.2149 b=6.2149 c=8.7468 alpha=113.23 beta=113.23 gamma=35.68
Last column: nearest neighbours and their distance in Å.
Positions (direct):
1 Dy 0.1411 0.1411 0.3260  6 Al 3.14-3.43
2 Dy 0.8589 0.8589 0.6740  6 Al 3.14-3.43
3 Y 0.3803 0.3803 0.0488  3 Al 3.09-3.12, 3 Y 3.28-3.42
4 Y 0.6197 0.6197 0.9512  3 Al 3.09-3.12, 3 Y 3.28-3.42
5 Al 0.1557 0.1557 0.6974  2 Al 2.71
6 Al 0.5000 0.5000 0.5000  4 Al 2.71
7 Al 0.8443 0.8443 0.3026  2 Al 2.71

The calculation puts the energy relative to the lowest polymorph listed for this composition at 15 meV per atom. As for the total moment: 0.003 μB/f.u. As for the space group: C2/m (12). The calculated formation energy is -0.275 eV per atom.


No. 12
Density functional theory data (PBE-GGA) for a relaxed structure of Dy3YAl.

Unit cell a=9.4842 b=9.4842 c=6.6908 alpha=96.32 beta=96.32 gamma=90.37
Last column: nearest neighbours and their distance in Å.
Positions (direct):
1 Dy 0.0292 0.1793 0.1155  1 Al 3.24, 3 Y 3.38-3.55, 3 Dy 3.44-3.59
2 Dy 0.1793 0.0292 0.6155  1 Al 3.24, 3 Y 3.38-3.55, 3 Dy 3.44-3.59
3 Dy 0.1950 0.5082 0.9847  1 Al 2.86
4 Dy 0.2364 0.4016 0.4738  3 Al 3.03-3.39, 1 Dy 3.25
5 Dy 0.4016 0.2364 0.9738  3 Al 3.03-3.39, 1 Dy 3.25
6 Dy 0.4918 0.8050 0.5153  1 Al 2.86
7 Dy 0.5082 0.1950 0.4847  1 Al 2.86
8 Dy 0.5984 0.7636 0.0262  3 Al 3.03-3.39, 1 Dy 3.25
9 Dy 0.7636 0.5984 0.5262  3 Al 3.03-3.39, 1 Dy 3.25
10 Dy 0.8050 0.4918 0.0153  1 Al 2.86
11 Dy 0.8207 0.9708 0.3845  1 Al 3.24, 3 Y 3.38-3.55, 3 Dy 3.44-3.59
12 Dy 0.9708 0.8207 0.8845  1 Al 3.24, 3 Y 3.38-3.55, 3 Dy 3.44-3.59
13 Y 0.0747 0.7094 0.3670  1 Al 3.01, 1 Dy 3.33
14 Y 0.2906 0.9253 0.1330  1 Al 3.01, 1 Dy 3.33
15 Y 0.7094 0.0747 0.8670  1 Al 3.01, 1 Dy 3.33
16 Y 0.9253 0.2906 0.6330  1 Al 3.01, 1 Dy 3.33
17 Al 0.2763 0.7237 0.7500  2 Dy 2.86, 2 Y 3.01, 1 Al 3.04
18 Al 0.4979 0.5021 0.2500  6 Dy 3.03-3.23, 3 Al 3.04-3.35
19 Al 0.5021 0.4979 0.7500  6 Dy 3.03-3.23, 3 Al 3.04-3.35
20 Al 0.7237 0.2763 0.2500  2 Dy 2.86, 2 Y 3.01, 1 Al 3.04

The calculation puts the energy relative to the lowest polymorph listed for this composition at 170 meV per atom. As for the total moment: 0.000 μB/f.u. As for the space group: C2/c (15). The calculated formation energy is 0.020 eV per atom.


- What is the formula in the sixth record?
  DyY3Al8


Please write out number 6 again, unchanged.
Density functional theory data (PBE-GGA) for a relaxed structure of DyY3Al8.

Unit cell a=5.5513 b=5.5513 c=9.1462 alpha=90.00 beta=90.00 gamma=120.00
Last column: nearest neighbours and their distance in Å.
Positions (direct):
1 Dy 0.0000 0.0000 0.0000  12 Al 3.24-3.30, 4 Y 3.33-3.44
2 Y 0.0000 0.0000 0.3639  12 Al 3.24-3.30, 1 Dy 3.33, 3 Y 3.44
3 Y 0.6667 0.3333 0.4997  12 Al 3.24-3.30, 4 Y 3.34-3.44
4 Y 0.6667 0.3333 0.8647  12 Al 3.24-3.29, 1 Y 3.34, 3 Dy 3.44
5 Al 0.1622 0.3245 0.6823  6 Al 2.70-2.85
6 Al 0.1622 0.8378 0.6823  6 Al 2.70-2.85
7 Al 0.3333 0.6667 0.4323  6 Al 2.82
8 Al 0.3333 0.6667 0.9322  6 Al 2.81-2.82
9 Al 0.5044 0.0088 0.1820  6 Al 2.70-2.85
10 Al 0.5044 0.4956 0.1820  6 Al 2.70-2.85
11 Al 0.6755 0.8378 0.6823  6 Al 2.70-2.85
12 Al 0.9912 0.4956 0.1820  6 Al 2.70-2.85

The calculation puts the energy relative to the lowest polymorph listed for this composition at 10 meV per atom. As for the total moment: 0.000 μB/f.u. As for the space group: P3m1 (156). The calculated formation energy is -0.519 eV per atom.


- What is the formula in the eighth record?
  Dy4Y3Al4